Here is crystalline Nd6TlHg2 at its relaxed geometry from Alexandria via LeMat-Bulk. Energies are from PBE.

For the density of states at the Fermi level, the calculation gives 47.641 states/eV per cell. For the calculated total energy, the calculation gives -33.81 eV/f.u. The size of the total moment comes out at 0.0 μB per cell. The calculated density is 8.48 g/cm³.

The structure belongs to space group Immm (No. 71); the cell edges are 10.333, 10.430 and 10.691 Å and the angles 90.00°, 90.00° and 90.00°. The distinct sites, in fractional coordinates, are Nd at (0.000, 0.222, 0.175), Nd at (0.180, 0.229, 0.500), Nd at (0.200, 0.500, 0.250), Tl at (0.000, 0.500, 0.000), Tl at (0.000, 0.500, 0.500), Hg at (0.000, 0.000, 0.364) and Hg at (0.147, 0.000, 0.000).

Here is crystalline CePuTeSe at its relaxed geometry from Alexandria via LeMat-Bulk. Energies are from PBE.

For the density of states at the Fermi level, the calculation gives 42.607 states/eV per cell. As for the uncorrected formation energy: -1.445 eV per atom. The size of the total moment comes out at 21.0 μB per cell. The calculated density is 8.59 g/cm³.

The structure belongs to space group R3m (No. 160, hexagonal axes); the cell edges are 4.3007, 4.3007 and 21.3894 Å and the angles 90.00°, 90.00° and 120.00°. The distinct sites, in fractional coordinates, are Ce at (0.0000, 0.0000, 0.0000), Pu at (0.0000, 0.0000, 0.5155), Te at (0.0000, 0.0000, 0.7595) and Se at (0.0000, 0.0000, 0.2552).

Here is crystalline PrHoGa2Rh2 at its relaxed geometry from Alexandria via LeMat-Bulk. Energies are from PBE.

For the density of states at the Fermi level, the calculation gives 4.423 states/eV per cell. For the calculated total energy, the calculation gives -34.92 eV/f.u. The size of the total moment comes out at 0.0 μB per cell. The calculated density is 8.77 g/cm³.

The structure belongs to space group P-3m1 (No. 164); the cell edges are 4.4115, 4.4115 and 7.3182 Å and the angles 90.00°, 90.00° and 120.00°. The distinct sites, in fractional coordinates, are Pr at (0.0000, 0.0000, 0.0000), Ho at (0.0000, 0.0000, 0.5000), Ga at (0.3333, 0.6667, 0.2721) and Rh at (0.3333, 0.6667, 0.7089).

Here is crystalline Cs4Mg at its relaxed geometry from Alexandria via LeMat-Bulk. Energies are from PBE.

For the density of states at the Fermi level, the calculation gives 4.990 states/eV per cell. For the calculated total energy, the calculation gives -4.26 eV/f.u. The size of the total moment comes out at 0.0 μB per cell. The calculated density is 1.82 g/cm³.

The structure belongs to space group Pm-3m (No. 221); the cell edges are 7.981, 7.981 and 7.981 Å and the angles 90.00°, 90.00° and 90.00°. The distinct sites, in fractional coordinates, are Cs at (0.000, 0.000, 0.000), Cs at (0.000, 0.500, 0.500) and Mg at (0.500, 0.500, 0.500).

Here is crystalline Ta4AlTe at its relaxed geometry from Alexandria via LeMat-Bulk. Energies are from PBE.

For the density of states at the Fermi level, the calculation gives 25.018 states/eV per cell. As for the uncorrected formation energy: 0.453 eV per atom. The size of the total moment comes out at 0.0 μB per cell. The calculated density is 12.07 g/cm³.

The structure belongs to space group F-43m (No. 216); the cell edges are 7.847, 7.847 and 7.847 Å and the angles 90.00°, 90.00° and 90.00°. The distinct sites, in fractional coordinates, are Ta at (0.124, 0.124, 0.376), Al at (0.250, 0.250, 0.750) and Te at (0.000, 0.000, 0.000).

Here is crystalline Au3Br at its relaxed geometry from Alexandria via LeMat-Bulk. Energies are from PBE.

For the density of states at the Fermi level, the calculation gives 0.965 states/eV per cell. As for the uncorrected formation energy: 0.137 eV per atom. The size of the total moment comes out at 0.0 μB per cell. The calculated density is 12.06 g/cm³.

The structure belongs to space group Pnma (No. 62); the cell edges are 7.241, 5.807 and 8.788 Å and the angles 90.00°, 90.00° and 90.00°. The distinct sites, in fractional coordinates, are Au at (0.126, 0.250, 0.204), Au at (0.170, 0.506, 0.926) and Br at (0.034, 0.750, 0.373).

Here is crystalline ErZn2Pd3 at its relaxed geometry from Alexandria via LeMat-Bulk. Energies are from PBE.

For the density of states at the Fermi level, the calculation gives 4.821 states/eV per cell. For the calculated total energy, the calculation gives -26.78 eV/f.u. The size of the total moment comes out at 0.0 μB per cell. The calculated density is 10.14 g/cm³.

The structure belongs to space group P-3m1 (No. 164); the cell edges are 4.4481, 4.4481 and 11.8029 Å and the angles 90.00°, 90.00° and 120.00°. The distinct sites, in fractional coordinates, are Er at (0.3333, 0.6667, 0.1774), Zn at (0.0000, 0.0000, 0.0000), Zn at (0.0000, 0.0000, 0.5000), Zn at (0.3333, 0.6667, 0.6557), Pd at (0.0000, 0.0000, 0.2877), Pd at (0.3333, 0.6667, 0.4243) and Pd at (0.3333, 0.6667, 0.9342).

Here is crystalline Na8ClO4 at its relaxed geometry from Alexandria via LeMat-Bulk. Energies are from PBE.

For the density of states at the Fermi level, the calculation gives 48.253 states/eV per cell. As for the uncorrected formation energy: -1.165 eV per atom. The size of the total moment comes out at 4.2 μB per cell. The calculated density is 1.74 g/cm³.

The structure belongs to space group F-43m (No. 216); the cell edges are 10.270, 10.270 and 10.270 Å and the angles 90.00°, 90.00° and 90.00°. The distinct sites, in fractional coordinates, are Na at (0.099, 0.099, 0.401), Na at (0.149, 0.149, 0.851), Cl at (0.000, 0.000, 0.000) and O at (0.124, 0.124, 0.624).

Here is crystalline Tl4ZnRe at its relaxed geometry from Alexandria via LeMat-Bulk. Energies are from PBE.

For the density of states at the Fermi level, the calculation gives 21.203 states/eV per cell. For the calculated total energy, the calculation gives -16.13 eV/f.u. The size of the total moment comes out at 14.4 μB per cell. The calculated density is 10.47 g/cm³.

The structure belongs to space group F-43m (No. 216); the cell edges are 8.786, 8.786 and 8.786 Å and the angles 90.00°, 90.00° and 90.00°. The distinct sites, in fractional coordinates, are Tl at (0.125, 0.125, 0.125), Zn at (0.250, 0.250, 0.750) and Re at (0.000, 0.000, 0.500).

Here is crystalline CaTe2Cl at its relaxed geometry from Alexandria via LeMat-Bulk. Energies are from PBE.

For the density of states at the Fermi level, the calculation gives 14.085 states/eV per cell. As for the uncorrected formation energy: 0.105 eV per atom. The size of the total moment comes out at 0.0 μB per cell. The calculated density is 4.52 g/cm³.

The structure belongs to space group R-3m (No. 166, hexagonal axes); the cell edges are 3.5653, 3.5653 and 33.1309 Å and the angles 90.00°, 90.00° and 120.00°. The distinct sites, in fractional coordinates, are Ca at (0.0000, 0.0000, 0.0000), Te at (0.0000, 0.0000, 0.0925) and Cl at (0.0000, 0.0000, 0.5000).

Here is crystalline NdDyIr at its relaxed geometry from Alexandria via LeMat-Bulk. Energies are from PBE.

For the density of states at the Fermi level, the calculation gives 20.368 states/eV per cell. For the calculated total energy, the calculation gives -20.06 eV/f.u. The size of the total moment comes out at 0.0 μB per cell. The calculated density is 10.89 g/cm³.

The structure belongs to space group Amm2 (No. 38); the cell edges are 4.667, 12.999 and 7.522 Å and the angles 90.00°, 90.00° and 90.00°. The distinct sites, in fractional coordinates, are Nd at (0.000, 0.000, 0.000), Nd at (0.000, 0.205, 0.386), Dy at (0.500, 0.000, 0.330), Dy at (0.500, 0.130, 0.721), Ir at (0.000, 0.000, 0.591) and Ir at (0.500, 0.167, 0.090).

Here is crystalline La5Tb2Nd2 at its relaxed geometry from Alexandria via LeMat-Bulk. Energies are from PBE.

For the density of states at the Fermi level, the calculation gives 48.513 states/eV per cell. For the calculated total energy, the calculation gives -41.82 eV/f.u. The size of the total moment comes out at 0.0 μB per cell. The calculated density is 6.85 g/cm³.

The structure belongs to space group Ima2 (No. 46); the cell edges are 15.108, 11.911 and 7.009 Å and the angles 90.00°, 90.00° and 90.00°. The distinct sites, in fractional coordinates, are La at (0.051, 0.231, 0.000), La at (0.144, 0.726, 0.339), La at (0.250, 0.247, 0.824), Tb at (0.129, 0.507, 0.674), Nd at (0.000, 0.000, 0.646) and Nd at (0.250, 0.504, 0.121).

Here is crystalline Ge3HRh at its relaxed geometry from Alexandria via LeMat-Bulk. Energies are from PBE.

For the density of states at the Fermi level, the calculation gives 2.493 states/eV per cell. For the calculated total energy, the calculation gives -22.81 eV/f.u. The size of the total moment comes out at 0.0 μB per cell. The calculated density is 7.53 g/cm³.

The structure belongs to space group Pm-3m (No. 221); the cell edges are 4.140, 4.140 and 4.140 Å and the angles 90.00°, 90.00° and 90.00°. The distinct sites, in fractional coordinates, are Ge at (0.000, 0.000, 0.500), H at (0.000, 0.000, 0.000) and Rh at (0.500, 0.500, 0.500).

Here is crystalline K2Rb4InSn2 at its relaxed geometry from Alexandria via LeMat-Bulk. Energies are from PBE.

For the density of states at the Fermi level, the calculation gives 7.819 states/eV per cell. For the calculated total energy, the calculation gives -17.47 eV/f.u. The size of the total moment comes out at 1.4 μB per cell. The calculated density is 2.83 g/cm³.

The structure belongs to space group C2/m (No. 12); the cell edges are 16.468, 8.541 and 6.831 Å and the angles 90.00°, 109.57° and 90.00°. The distinct sites, in fractional coordinates, are K at (0.139, 0.000, 0.234), Rb at (0.133, 0.270, 0.707), In at (0.000, 0.500, 0.000) and Sn at (0.173, 0.500, 0.242).

Here is crystalline Dy4CoIr at its relaxed geometry from Alexandria via LeMat-Bulk. Energies are from PBE.

For the density of states at the Fermi level, the calculation gives 25.242 states/eV per cell. For the calculated total energy, the calculation gives -36.95 eV/f.u. The size of the total moment comes out at 0.0 μB per cell. The calculated density is 10.25 g/cm³.

The structure belongs to space group C2/c (No. 15); the cell edges are 8.787, 13.051 and 6.188 Å and the angles 90.00°, 124.63° and 90.00°. The distinct sites, in fractional coordinates, are Dy at (0.130, 0.180, 0.101), Dy at (0.203, 0.440, 0.274), Co at (0.000, 0.002, 0.750) and Ir at (0.000, 0.363, 0.750).

Here is crystalline Pm2Sm2Se3 at its relaxed geometry from Alexandria via LeMat-Bulk. Energies are from PBE.

For the density of states at the Fermi level, the calculation gives 7.275 states/eV per cell. As for the uncorrected formation energy: -1.534 eV per atom. The size of the total moment comes out at 0.0 μB per cell. The calculated density is 6.94 g/cm³.

The structure belongs to space group C2/m (No. 12); the cell edges are 13.688, 4.108 and 7.161 Å and the angles 90.00°, 100.15° and 90.00°. The distinct sites, in fractional coordinates, are Pm at (0.122, 0.000, 0.381), Sm at (0.126, 0.500, 0.873), Se at (0.000, 0.000, 0.000) and Se at (0.246, 0.500, 0.248).

Here is crystalline Cu2HgMo at its relaxed geometry from Alexandria via LeMat-Bulk. Energies are from PBE.

For the density of states at the Fermi level, the calculation gives 2.824 states/eV per cell. For the calculated total energy, the calculation gives -17.39 eV/f.u. The size of the total moment comes out at 0.0 μB per cell. The calculated density is 11.50 g/cm³.

The structure belongs to space group P4/mmm (No. 123); the cell edges are 4.698, 4.698 and 2.771 Å and the angles 90.00°, 90.00° and 90.00°. The distinct sites, in fractional coordinates, are Cu at (0.000, 0.500, 0.000), Hg at (0.000, 0.000, 0.500) and Mo at (0.500, 0.500, 0.500).

Here is crystalline Mg3Se2 at its relaxed geometry from Alexandria via LeMat-Bulk. Energies are from PBE.

For the density of states at the Fermi level, the calculation gives 0.283 states/eV per cell. As for the uncorrected formation energy: -0.709 eV per atom. The size of the total moment comes out at 0.0 μB per cell. The calculated density is 2.36 g/cm³.

The structure belongs to space group P-3m1 (No. 164); the cell edges are 4.3378, 4.3378 and 9.9503 Å and the angles 90.00°, 90.00° and 120.00°. The distinct sites, in fractional coordinates, are Mg at (0.0000, 0.0000, 0.0000), Mg at (0.3333, 0.6667, 0.3915) and Se at (0.3333, 0.6667, 0.6648).

Here is crystalline ScAl4Ag2 at its relaxed geometry from Alexandria via LeMat-Bulk. Energies are from PBE.

For the density of states at the Fermi level, the calculation gives 4.565 states/eV per cell. For the calculated total energy, the calculation gives -27.89 eV/f.u. The size of the total moment comes out at 0.0 μB per cell. The calculated density is 4.77 g/cm³.

The structure belongs to space group C2/m (No. 12); the cell edges are 9.071, 6.470 and 5.123 Å and the angles 90.00°, 121.30° and 90.00°. The distinct sites, in fractional coordinates, are Sc at (0.000, 0.000, 0.000), Al at (0.185, 0.205, 0.710) and Ag at (0.059, 0.500, 0.301).

Here is crystalline Zn2CoHg at its relaxed geometry from Alexandria via LeMat-Bulk. Energies are from PBE.

For the density of states at the Fermi level, the calculation gives 12.218 states/eV per cell. For the calculated total energy, the calculation gives -8.77 eV/f.u. The size of the total moment comes out at 4.5 μB per cell. The calculated density is 10.05 g/cm³.

The structure belongs to space group R3m (No. 160, hexagonal axes); the cell edges are 2.8747, 2.8747 and 27.0299 Å and the angles 90.00°, 90.00° and 120.00°. The distinct sites, in fractional coordinates, are Zn at (0.0000, 0.0000, 0.0000), Zn at (0.0000, 0.0000, 0.2501), Co at (0.0000, 0.0000, 0.7367) and Hg at (0.0000, 0.0000, 0.4870).